# Na2GaPtO4 PBE relaxed
data_Na2GaPtO4
_chemical_formula_sum 'Na2 Ga1 Pt1 O4'
_space_group_name_H-M_alt 'P 1'
_space_group_IT_number 1
_cell_length_a 5.154
_cell_length_b 5.154
_cell_length_c 5.154
_cell_angle_alpha 106.15
_cell_angle_beta 111.16
_cell_angle_gamma 111.16
loop_
_space_group_symop_operation_xyz
'x,y,z'
loop_
_atom_site_label
_atom_site_type_symbol
_atom_site_fract_x
_atom_site_fract_y
_atom_site_fract_z
O1 O 0.957 0.453 0.106
Na1 Na 0.500 0.750 0.250
O2 O 0.043 0.148 0.495
O3 O 0.653 0.505 0.547
Na2 Na 0.000 0.000 0.000
Pt1 Pt 0.500 0.250 0.750
Ga1 Ga 0.000 0.500 0.500
O4 O 0.347 0.894 0.852
# magnetic moment	1.1	μB/f.u.
# raw total energy	-5.199	eV/atom
# E_form (uncorrected)	-1.26	eV per atom
# SG	I-4 (82)

# Rb3CdAg2 PBE relaxed
data_Rb3CdAg2
_chemical_formula_sum 'Rb12 Cd4 Ag8'
_space_group_name_H-M_alt 'P 1'
_space_group_IT_number 1
_cell_length_a 8.830
_cell_length_b 11.395
_cell_length_c 12.753
_cell_angle_alpha 90.00
_cell_angle_beta 123.06
_cell_angle_gamma 90.00
loop_
_space_group_symop_operation_xyz
'x,y,z'
loop_
_atom_site_label
_atom_site_type_symbol
_atom_site_fract_x
_atom_site_fract_y
_atom_site_fract_z
Rb1 Rb 0.542 0.492 0.780
Rb2 Rb 0.186 0.327 0.865
Rb3 Rb 0.184 0.380 0.399
Cd1 Cd 0.977 0.392 0.056
Ag1 Ag 0.296 0.651 0.893
Rb4 Rb 0.814 0.673 0.135
Ag2 Ag 0.301 0.691 0.372
Cd2 Cd 0.477 0.108 0.556
Rb5 Rb 0.958 0.992 0.720
Rb6 Rb 0.684 0.120 0.899
Ag3 Ag 0.699 0.309 0.628
Ag4 Ag 0.704 0.349 0.107
Ag5 Ag 0.801 0.809 0.872
Rb7 Rb 0.816 0.620 0.601
Cd3 Cd 0.023 0.608 0.944
Cd4 Cd 0.523 0.892 0.444
Ag6 Ag 0.796 0.849 0.393
Rb8 Rb 0.316 0.880 0.101
Rb9 Rb 0.042 0.008 0.280
Rb10 Rb 0.686 0.173 0.365
Ag7 Ag 0.204 0.151 0.607
Rb11 Rb 0.458 0.508 0.220
Rb12 Rb 0.314 0.827 0.635
Ag8 Ag 0.199 0.191 0.128
# magnetic moment	0.0	μB/f.u.
# raw total energy	-1.526	eV/atom
# E_form	61	meV/atom
# SG	P2_1/c (14)

# CaSbP2 PBE relaxed
data_CaSbP2
_chemical_formula_sum 'Ca2 Sb2 P4'
_space_group_name_H-M_alt 'P 1'
_space_group_IT_number 1
_cell_length_a 6.419
_cell_length_b 6.419
_cell_length_c 7.560
_cell_angle_alpha 64.88
_cell_angle_beta 64.88
_cell_angle_gamma 90.00
loop_
_space_group_symop_operation_xyz
'x,y,z'
loop_
_atom_site_label
_atom_site_type_symbol
_atom_site_fract_x
_atom_site_fract_y
_atom_site_fract_z
Sb1 Sb 0.000 0.000 0.000
P1 P 0.093 0.625 0.250
Ca1 Ca 0.250 0.750 0.500
Ca2 Ca 0.500 0.500 0.000
P2 P 0.375 0.343 0.750
P3 P 0.657 0.125 0.250
P4 P 0.875 0.907 0.750
Sb2 Sb 0.750 0.250 0.500
# magnetic moment	0.0	μB/f.u.
# raw total energy	-4.440	eV/atom
# E_form (uncorrected)	-0.20	eV per atom
# SG	I-42d (122)

# Cs12Ag3Hg5 PBE relaxed
data_Cs12Ag3Hg5
_chemical_formula_sum 'Cs48 Ag12 Hg20'
_space_group_name_H-M_alt 'P 1'
_space_group_IT_number 1
_cell_length_a 19.371
_cell_length_b 19.371
_cell_length_c 19.371
_cell_angle_alpha 109.47
_cell_angle_beta 109.47
_cell_angle_gamma 109.47
loop_
_space_group_symop_operation_xyz
'x,y,z'
loop_
_atom_site_label
_atom_site_type_symbol
_atom_site_fract_x
_atom_site_fract_y
_atom_site_fract_z
Cs1 Cs 0.327 0.772 0.401
Hg1 Hg 0.875 0.625 0.750
Cs2 Cs 0.673 0.228 0.599
Hg2 Hg 0.250 0.375 0.625
Cs3 Cs 0.574 0.628 0.401
Cs4 Cs 0.673 0.446 0.574
Cs5 Cs 0.054 0.426 0.827
Hg3 Hg 0.625 0.750 0.875
Cs6 Cs 0.772 0.327 0.901
Cs7 Cs 0.728 0.128 0.054
Hg4 Hg 0.500 0.500 0.000
Cs8 Cs 0.599 0.872 0.426
Hg5 Hg 0.875 0.250 0.625
Cs9 Cs 0.173 0.074 0.946
Ag1 Ag 0.875 0.125 0.250
Cs10 Cs 0.272 0.872 0.946
Cs11 Cs 0.628 0.574 0.901
Cs12 Cs 0.872 0.272 0.446
Ag2 Ag 0.875 0.750 0.125
Cs13 Cs 0.099 0.926 0.372
Cs14 Cs 0.554 0.327 0.926
Cs15 Cs 0.827 0.901 0.272
Cs16 Cs 0.074 0.173 0.446
Hg6 Hg 0.500 0.000 0.500
Ag3 Ag 0.250 0.625 0.875
Hg7 Hg 0.125 0.375 0.250
Cs17 Cs 0.901 0.074 0.628
Hg8 Hg 0.000 0.500 0.000
Cs18 Cs 0.426 0.372 0.599
Cs19 Cs 0.372 0.946 0.772
Ag4 Ag 0.250 0.125 0.375
Cs20 Cs 0.728 0.599 0.173
Ag5 Ag 0.125 0.250 0.875
Hg9 Hg 0.375 0.125 0.750
Hg10 Hg 0.000 0.000 0.500
Cs21 Cs 0.327 0.554 0.426
Cs22 Cs 0.054 0.628 0.728
Cs23 Cs 0.628 0.054 0.228
Ag6 Ag 0.750 0.875 0.625
Cs24 Cs 0.074 0.901 0.128
Hg11 Hg 0.750 0.625 0.375
Hg12 Hg 0.375 0.250 0.125
Ag7 Ag 0.375 0.750 0.625
Cs25 Cs 0.926 0.099 0.872
Hg13 Hg 0.625 0.875 0.250
Cs26 Cs 0.272 0.401 0.827
Hg14 Hg 0.500 0.000 0.000
Cs27 Cs 0.173 0.099 0.728
Cs28 Cs 0.901 0.827 0.772
Ag8 Ag 0.625 0.250 0.375
Cs29 Cs 0.401 0.272 0.327
Ag9 Ag 0.750 0.375 0.125
Cs30 Cs 0.946 0.372 0.272
Cs31 Cs 0.446 0.673 0.074
Hg15 Hg 0.125 0.750 0.375
Cs32 Cs 0.128 0.401 0.074
Hg16 Hg 0.250 0.875 0.125
Ag10 Ag 0.125 0.875 0.750
Cs33 Cs 0.772 0.446 0.372
Cs34 Cs 0.128 0.728 0.554
Hg17 Hg 0.000 0.500 0.500
Cs35 Cs 0.426 0.054 0.327
Ag11 Ag 0.625 0.375 0.750
Cs36 Cs 0.401 0.128 0.574
Cs37 Cs 0.372 0.426 0.099
Ag12 Ag 0.375 0.625 0.250
Hg18 Hg 0.500 0.500 0.500
Cs38 Cs 0.946 0.574 0.173
Hg19 Hg 0.000 0.000 0.000
Cs39 Cs 0.599 0.728 0.673
Cs40 Cs 0.827 0.926 0.054
Cs41 Cs 0.446 0.772 0.872
Hg20 Hg 0.750 0.125 0.875
Cs42 Cs 0.872 0.599 0.926
Cs43 Cs 0.574 0.946 0.673
Cs44 Cs 0.099 0.173 0.228
Cs45 Cs 0.228 0.673 0.099
Cs46 Cs 0.228 0.554 0.628
Cs47 Cs 0.554 0.228 0.128
Cs48 Cs 0.926 0.827 0.554
# magnetic moment	2.3	μB/f.u.
# raw total energy	-0.989	eV/atom
# E_form	26	meV/atom
# SG	Ia-3d (230)

# BP3Pt PBE relaxed
data_BP3Pt
_chemical_formula_sum 'B1 P3 Pt1'
_space_group_name_H-M_alt 'P 1'
_space_group_IT_number 1
_cell_length_a 4.711
_cell_length_b 4.711
_cell_length_c 4.711
_cell_angle_alpha 90.00
_cell_angle_beta 90.00
_cell_angle_gamma 90.00
loop_
_space_group_symop_operation_xyz
'x,y,z'
loop_
_atom_site_label
_atom_site_type_symbol
_atom_site_fract_x
_atom_site_fract_y
_atom_site_fract_z
P1 P 0.000 0.500 0.000
B1 B 0.500 0.500 0.500
P2 P 0.000 0.000 0.500
Pt1 Pt 0.000 0.000 0.000
P3 P 0.500 0.000 0.000
# magnetic moment	0.0	μB/f.u.
# raw total energy	-4.091	eV/atom
# E_form	1698	meV/atom
# energy above the most stable polymorph in this dataset	1035	meV/atom
# SG	Pm-3m (221)

# Bi3Pd4Se2 PBE relaxed
data_Bi3Pd4Se2
_chemical_formula_sum 'Bi6 Pd8 Se4'
_space_group_name_H-M_alt 'P 1'
_space_group_IT_number 1
_cell_length_a 6.623
_cell_length_b 8.028
_cell_length_c 8.028
_cell_angle_alpha 72.63
_cell_angle_beta 96.34
_cell_angle_gamma 96.34
loop_
_space_group_symop_operation_xyz
'x,y,z'
loop_
_atom_site_label
_atom_site_type_symbol
_atom_site_fract_x
_atom_site_fract_y
_atom_site_fract_z
Bi1 Bi 0.446 0.199 0.978
Bi2 Bi 0.750 0.458 0.542
Bi3 Bi 0.946 0.978 0.199
Pd1 Pd 0.986 0.203 0.454
Pd2 Pd 0.014 0.797 0.546
Pd3 Pd 0.641 0.093 0.699
Bi4 Bi 0.554 0.801 0.022
Pd4 Pd 0.486 0.454 0.203
Pd5 Pd 0.514 0.546 0.797
Se1 Se 0.861 0.429 0.166
Se2 Se 0.639 0.834 0.571
Pd6 Pd 0.859 0.301 0.907
Se3 Se 0.139 0.571 0.834
Bi5 Bi 0.250 0.542 0.458
Pd7 Pd 0.141 0.699 0.093
Pd8 Pd 0.359 0.907 0.301
Se4 Se 0.361 0.166 0.429
Bi6 Bi 0.054 0.022 0.801
# magnetic moment	0.0	μB/f.u.
# raw total energy	-4.583	eV/atom
# E_form (uncorrected)	-0.21	eV per atom
# SG	C2/c (15)

# CsGeSbSe4 PBE relaxed
data_CsGeSbSe4
_chemical_formula_sum 'Cs2 Ge2 Sb2 Se8'
_space_group_name_H-M_alt 'P 1'
_space_group_IT_number 1
_cell_length_a 7.112
_cell_length_b 7.197
_cell_length_c 10.038
_cell_angle_alpha 90.00
_cell_angle_beta 108.80
_cell_angle_gamma 90.00
loop_
_space_group_symop_operation_xyz
'x,y,z'
loop_
_atom_site_label
_atom_site_type_symbol
_atom_site_fract_x
_atom_site_fract_y
_atom_site_fract_z
Sb1 Sb 0.772 0.750 0.500
Cs1 Cs 0.259 0.250 0.054
Se1 Se 0.422 0.750 0.179
Se2 Se 0.985 0.509 0.700
Ge1 Ge 0.759 0.250 0.667
Se3 Se 0.985 0.991 0.700
Ge2 Ge 0.241 0.750 0.333
Sb2 Sb 0.228 0.250 0.500
Se4 Se 0.015 0.009 0.300
Se5 Se 0.578 0.250 0.821
Se6 Se 0.015 0.491 0.300
Se7 Se 0.446 0.750 0.576
Cs2 Cs 0.741 0.750 0.946
Se8 Se 0.554 0.250 0.424
# magnetic moment	0.0	μB/f.u.
# raw total energy	-3.896	eV/atom
# E_form (uncorrected)	-0.53	eV per atom
# SG	P2_1/m (11)

# Er3TaO7 PBE relaxed
data_Er3TaO7
_chemical_formula_sum 'Er6 Ta2 O14'
_space_group_name_H-M_alt 'P 1'
_space_group_IT_number 1
_cell_length_a 6.454
_cell_length_b 6.454
_cell_length_c 7.411
_cell_angle_alpha 90.00
_cell_angle_beta 90.00
_cell_angle_gamma 108.51
loop_
_space_group_symop_operation_xyz
'x,y,z'
loop_
_atom_site_label
_atom_site_type_symbol
_atom_site_fract_x
_atom_site_fract_y
_atom_site_fract_z
Er1 Er 0.461 0.461 0.000
O1 O 0.360 0.640 0.250
Er2 Er 0.465 0.000 0.260
O2 O 0.929 0.071 0.750
O3 O 0.692 0.952 0.047
O4 O 0.640 0.360 0.750
Er3 Er 0.000 0.535 0.240
O5 O 0.669 0.916 0.476
Ta1 Ta 0.002 0.002 0.500
O6 O 0.331 0.084 0.976
O7 O 0.371 0.629 0.750
O8 O 0.048 0.308 0.453
Er4 Er 0.000 0.465 0.740
O9 O 0.084 0.331 0.024
O10 O 0.308 0.048 0.547
Er5 Er 0.535 0.000 0.760
O11 O 0.916 0.669 0.524
O12 O 0.629 0.371 0.250
O13 O 0.071 0.929 0.250
O14 O 0.952 0.692 0.953
Er6 Er 0.539 0.539 0.500
Ta2 Ta 0.998 0.998 0.000
# magnetic moment	0.0	μB/f.u.
# raw total energy	-8.919	eV/atom
# E_form (uncorrected)	-3.44	eV per atom
# energy above the most stable polymorph in this dataset	4	meV/atom
# SG	C222_1 (20)